Computed, not measured: PmPuGaIr after structural relaxation at the PBE level of DFT. Values from VASP.

Cell and atoms, written as Quantum ESPRESSO input:
```
&SYSTEM
  ibrav = 0, nat = 4, ntyp = 4
/
ATOMIC_SPECIES
Pm 145.00 Pm.upf
Pu 244.00 Pu.upf
Ga 69.72 Ga.upf
Ir 192.22 Ir.upf
CELL_PARAMETERS angstrom
0.0000 3.5494 3.5494
3.5494 0.0000 3.5494
3.5494 3.5494 0.0000
ATOMIC_POSITIONS crystal
Pm 0.0000 0.0000 0.0000
Pu 0.5000 0.5000 0.5000
Ga 0.2500 0.2500 0.2500
Ir 0.7500 0.7500 0.7500
```

Properties
Calculated formation energy ... -0.405 eV per atom